[1]
TcHgTe: optimized geometry, PBE-GGA.

- D(E_F): 3.2 states/eV/cell
- E above lowest polymorph: 0.344 eV/atom
- M_tot: 0.49 μB per cell
- ρ: 10.3 g/cm³
- Crystal system: orthorhombic
- E_form (uncorrected): 55 kJ per mole of atoms
- Space group: Fmm2 (42)

Unit cell a=8.1487 b=7.8551 c=3.1840 alpha=83.76 beta=73.39 gamma=22.86
Last column: magnetic moment on the atom in μB.
Sites, in units of the cell vectors:
Hg: 0.9774 0.9774 0.0226  0.00
Tc: 0.3266 0.3266 0.6734  0.45
Te: 0.6960 0.6960 0.3040  -0.01

[2]
MnNb2Sb2: optimized geometry, PBE-GGA.

- D(E_F): 6.3 states/eV/cell
- M_tot: 7.16 μB per cell
- ρ: 8.0 g/cm³
- Crystal system: tetragonal
- E_form (uncorrected): 10 kJ per mole of atoms
- Space group: P4/mbm (127)

Unit cell a=7.4799 b=7.4799 c=3.6098 alpha=90.00 beta=90.00 gamma=90.00
Last column: magnetic moment on the atom in μB.
Sites, in units of the cell vectors:
Sb: 0.1542 0.3458 0.0000  0.01
Sb: 0.8458 0.6542 0.0000  0.01
Sb: 0.6542 0.1542 0.0000  0.01
Sb: 0.3458 0.8458 0.0000  0.01
Nb: 0.1416 0.6416 0.5000  -0.10
Nb: 0.3584 0.1416 0.5000  -0.11
Nb: 0.8584 0.3584 0.5000  -0.10
Nb: 0.6416 0.8584 0.5000  -0.11
Mn: 0.5000 0.5000 0.0000  3.67
Mn: 0.0000 0.0000 0.0000  3.67

[3]
HgP2W2: optimized geometry, PBE-GGA.

- D(E_F): 3.0 states/eV/cell
- ΔH_f (0 K): 1.16 eV per formula unit
- M_tot: 0.00 μB per cell
- ρ: 13.0 g/cm³
- Crystal system: tetragonal
- Space group: I4/mmm (139)

Unit cell a=6.8480 b=6.8480 c=6.8480 alpha=149.87 beta=149.87 gamma=43.14
Sites, in units of the cell vectors:
P: 0.2500 0.7500 0.5000
P: 0.7500 0.2500 0.5000
Hg: 0.0000 0.0000 0.0000
W: 0.3819 0.3819 0.0000
W: 0.6181 0.6181 0.0000

[4]
PrNd3Ni2: optimized geometry, PBE-GGA.

- D(E_F): 15.3 states/eV/cell
- ΔH_f (0 K): -1.20 eV per formula unit
- E above lowest polymorph: 0.000 eV/atom
- M_tot: 0.00 μB per cell
- ρ: 7.0 g/cm³
- Crystal system: monoclinic
- Space group: C2/m (12)

Unit cell a=3.9846 b=8.5754 c=10.2026 alpha=78.44 beta=78.74 gamma=76.57
Sites, in units of the cell vectors:
Nd: 0.5824 0.7777 0.0575
Nd: 0.8451 0.0605 0.2492
Nd: 0.4170 0.7246 0.4413
Nd: 0.4176 0.2223 0.9425
Nd: 0.1549 0.9395 0.7508
Nd: 0.5830 0.2754 0.5587
Pr: 0.8463 0.5591 0.7482
Pr: 0.1537 0.4409 0.2517
Ni: 0.7674 0.4171 0.0481
Ni: 0.7673 0.9176 0.5478
Ni: 0.2327 0.0824 0.4522
Ni: 0.2326 0.5829 0.9519

[5]
Zr2CdSe: optimized geometry, PBE-GGA.

- D(E_F): 2.4 states/eV/cell
- E above lowest polymorph: 0.129 eV/atom
- M_tot: 0.00 μB per cell
- ρ: 7.1 g/cm³
- Crystal system: orthorhombic
- E_form (uncorrected): -40 kJ per mole of atoms
- Space group: Imm2 (44)

Unit cell a=6.1181 b=6.1181 c=6.1181 alpha=148.24 beta=133.09 gamma=57.76
Sites, in units of the cell vectors:
Cd: 0.4814 0.4814 0.0000
Zr: 0.0220 0.0220 0.0000
Zr: 0.7717 0.2717 0.5000
Se: 0.2249 0.7249 0.5000

[6]
GaSnIrS2: optimized geometry, PBE-GGA.

- D(E_F): 0.3 states/eV/cell
- E above lowest polymorph: 0.210 eV/atom
- M_tot: 0.00 μB per cell
- ρ: 7.2 g/cm³
- Crystal system: triclinic
- E_form (uncorrected): -23 kJ per mole of atoms
- Space group: P1 (1)

Unit cell a=3.9846 b=4.2574 c=6.3082 alpha=97.65 beta=91.13 gamma=103.04
Sites, in units of the cell vectors:
S: 0.8530 0.1969 0.1879
S: 0.3481 0.8062 0.5062
Sn: 0.9791 0.4539 0.7439
Ga: 0.4521 0.5408 0.1625
Ir: 0.6056 0.8836 0.8623

[7]
TbEr3Sc7: optimized geometry, PBE-GGA.

- D(E_F): 17.8 states/eV/cell
- ΔH_f (0 K): 3.25 eV per formula unit
- M_tot: 0.25 μB per cell
- ρ: 5.3 g/cm³
- Crystal system: monoclinic
- Space group: C2/m (12)

Unit cell a=5.4218 b=7.9543 c=7.9543 alpha=81.94 beta=109.99 gamma=109.99
Last column: magnetic moment on the atom in μB.
Sites, in units of the cell vectors:
Sc: 0.7150 0.0227 0.4069  0.01
Sc: 0.7150 0.4069 0.0227  0.01
Sc: 0.2079 0.2073 0.2073  0.00
Sc: 0.2850 0.5931 0.9773  0.01
Sc: 0.7921 0.7927 0.7927  0.00
Sc: 0.0000 0.5000 0.5000  0.10
Sc: 0.2850 0.9773 0.5931  0.01
Er: 0.0000 0.2099 0.7901  0.01
Er: 0.5000 0.0000 0.0000  0.00
Er: 0.0000 0.7901 0.2099  0.01
Tb: 0.5000 0.5000 0.5000  0.08

[8]
Ac4Tl3Ag: optimized geometry, PBE-GGA.

- D(E_F): 9.6 states/eV/cell
- ΔH_f (0 K): -2.36 eV per formula unit
- E above lowest polymorph: 0.034 eV/atom
- M_tot: 0.00 μB per cell
- ρ: 9.5 g/cm³
- Crystal system: orthorhombic
- Space group: Pmm2 (25)

Unit cell a=4.8177 b=4.8548 c=12.1992 alpha=90.00 beta=90.00 gamma=90.00
Sites, in units of the cell vectors:
Ac: 0.0000 0.0000 0.1365
Ac: 0.5000 0.5000 0.3530
Ac: 0.0000 0.5000 0.8702
Ac: 0.5000 0.0000 0.6407
Tl: 0.5000 0.0000 0.9225
Tl: 0.0000 0.0000 0.4160
Tl: 0.0000 0.5000 0.5838
Ag: 0.5000 0.5000 0.0774

[9]
CaBe2AgAu5: optimized geometry, PBE-GGA.

- D(E_F): 2.1 states/eV/cell
- ΔH_f (0 K): -1.91 eV per formula unit
- M_tot: 0.00 μB per cell
- ρ: 12.0 g/cm³
- Crystal system: tetragonal
- Space group: P4/mmm (123)

Unit cell a=4.6486 b=4.6486 c=7.3423 alpha=90.00 beta=90.00 gamma=90.00
Sites, in units of the cell vectors:
Au: 0.5000 0.0000 0.2249
Au: 0.0000 0.5000 0.7751
Au: 0.5000 0.5000 0.5000
Au: 0.0000 0.5000 0.2249
Au: 0.5000 0.0000 0.7751
Ca: 0.0000 0.0000 0.5000
Ag: 0.0000 0.0000 0.0000
Be: 0.5000 0.5000 0.1648
Be: 0.5000 0.5000 0.8352

[10]
LiGeRh2W: optimized geometry, PBE-GGA.

- D(E_F): 5.4 states/eV/cell
- ΔH_f (0 K): 4.41 eV per formula unit
- M_tot: 1.02 μB per cell
- ρ: 10.7 g/cm³
- Crystal system: tetragonal
- Space group: P4/mmm (123)

Unit cell a=4.0517 b=4.4376 c=4.0517 alpha=90.00 beta=90.00 gamma=90.00
Last column: magnetic moment on the atom in μB.
Sites, in units of the cell vectors:
Rh: 0.0000 0.0000 0.5000  0.14
Rh: 0.5000 0.0000 0.0000  0.10
W: 0.0000 0.5000 0.0000  0.65
Li: 0.0000 0.0000 0.0000  0.04
Ge: 0.5000 0.5000 0.5000  -0.01

[11]
TaNb2ReC: optimized geometry, PBE-GGA.

- D(E_F): 2.9 states/eV/cell
- ΔH_f (0 K): 11.95 eV per formula unit
- M_tot: 0.00 μB per cell
- ρ: 8.3 g/cm³
- Crystal system: tetragonal
- Space group: P4/mmm (123)

Unit cell a=4.8269 b=4.8455 c=4.8269 alpha=90.00 beta=90.00 gamma=90.00
Sites, in units of the cell vectors:
Ta: 0.0000 0.5000 0.0000
Re: 0.0000 0.0000 0.0000
C: 0.5000 0.5000 0.5000
Nb: 0.5000 0.0000 0.0000
Nb: 0.0000 0.0000 0.5000

[12]
NaLiAu: optimized geometry, PBE-GGA.

- D(E_F): 0.7 states/eV/cell
- ΔH_f (0 K): -0.84 eV per formula unit
- E above lowest polymorph: 0.085 eV/atom
- M_tot: 0.00 μB per cell
- ρ: 6.6 g/cm³
- Crystal system: trigonal
- Space group: P3m1 (156)

Unit cell a=2.9556 b=4.7350 c=4.7350 alpha=120.00 beta=90.00 gamma=90.00
Sites, in units of the cell vectors:
Na: 0.0376 0.0000 0.0000
Au: 0.6082 0.6667 0.3333
Li: 0.3542 0.3333 0.6667

Which formula does entry 10 have?
LiGeRh2W

Which of these has the lowest D(E_F)?
GaSnIrS2